[1]
LaAsPt2 after structural relaxation. Source: Alexandria via LeMat-Bulk, functional PBE.

The magnetic moment is 0.0 μB per formula unit. For the uncorrected energy, the calculation gives -24.37 eV/f.u. The formation energy comes out at -679.0 meV per atom.

The structure belongs to space group P4mm (No. 99); the cell edges are 3.574, 3.574 and 6.584 Å and the angles 90.00°, 90.00° and 90.00°. Symmetry generates all atoms from La at (0.000, 0.000, 0.000), As at (0.500, 0.500, 0.626), Pt at (0.000, 0.000, 0.502) and Pt at (0.500, 0.500, 0.244).

---

[2]
LaAsPt2 after structural relaxation. Source: Alexandria via LeMat-Bulk, functional PBE.

The magnetic moment is 0.0 μB per formula unit. For the uncorrected energy, the calculation gives -24.26 eV/f.u. The formation energy comes out at -649.7 meV per atom.

The structure belongs to space group Cmmm (No. 65); the cell edges are 5.957, 6.792 and 4.061 Å and the angles 90.00°, 90.00° and 90.00°. Symmetry generates all atoms from La at (0.000, 0.000, 0.000), As at (0.000, 0.500, 0.000) and Pt at (0.250, 0.250, 0.500).

---

The highest uncorrected energy belongs to which entry?
number 2